# Ni2AsOs

A relaxed structure of Ni2AsOs (PBE-GGA, Alexandria).

For the total magnetic moment, the calculation gives 0.00 μB/f.u. The value obtained for the total energy is -6.70 eV/atom. As for the formation energy: 156 meV per atom.

It has space group Cm (No. 8), with a = 8.238 Å, b = 2.843 Å, c = 4.480 Å, α = 90.00°, β = 99.71° and γ = 90.00°. Symmetry generates all atoms from Ni at (0.000, 0.000, 0.000), Ni at (0.243, 0.500, 0.196), As at (0.005, 0.500, 0.463) and Os at (0.255, 0.000, 0.714).